No. 1
U6Ga | GGA-PBE | relaxed

```
U6Ga
1.0
-3.574 3.574 3.574
3.574 -3.574 3.574
3.574 3.574 -3.574
U Ga
6 1
Direct
0.250 0.500 0.750
0.250 0.750 0.500
0.500 0.250 0.750
0.500 0.750 0.250
0.750 0.250 0.500
0.750 0.500 0.250
0.000 0.000 0.000
```

Energy relative to the elements (eV/atom): 1.1361
VASP energy (eV per atom): -8.9719


No. 2
MoIrPt3 | GGA-PBE | relaxed

```
MoIrPt3
1.0
4.731 0.000 0.000
0.000 4.731 0.000
0.000 0.000 4.731
Mo Ir Pt
1 1 3
Direct
0.000 0.000 0.000
0.500 0.500 0.500
0.000 0.000 0.500
0.000 0.500 0.000
0.500 0.000 0.000
```

Energy relative to the elements (eV/atom): 1.6796
VASP energy (eV per atom): -5.8833


No. 3
Te2As | GGA-PBE | relaxed

```
Te2As
1.0
6.590 -1.950 0.000
6.590 1.950 0.000
-1.434 0.000 8.574
Te As
4 2
Direct
0.000 0.000 0.000
0.262 0.262 0.263
0.557 0.557 0.611
0.857 0.857 0.489
0.140 0.140 0.808
0.589 0.589 0.199
```

VASP energy (eV per atom): -3.4944
Raw formation energy (eV per atom): 0.150


No. 4
TbZrPb | GGA-PBE | relaxed

```
TbZrPb
1.0
5.264 0.000 0.000
-2.632 4.559 0.000
0.000 0.000 3.410
Tb Zr Pb
1 1 1
Direct
0.000 0.000 0.000
0.667 0.333 0.499
0.333 0.667 0.503
```

Energy relative to the elements (eV/atom): -0.0130
VASP energy (eV per atom): -5.6419


No. 5
LiTb3In2 | GGA-PBE | relaxed

```
LiTb3In2
1.0
5.307 0.000 0.000
-2.654 4.596 0.000
0.000 0.000 13.035
Li Tb In
2 6 4
Direct
0.333 0.667 0.170
0.667 0.333 0.830
0.000 0.000 0.250
0.000 0.000 0.750
0.333 0.667 0.416
0.333 0.667 0.918
0.667 0.333 0.082
0.667 0.333 0.584
0.000 0.000 0.000
0.000 0.000 0.500
0.333 0.667 0.677
0.667 0.333 0.323
```

Energy relative to the elements (eV/atom): -0.3442
VASP energy (eV per atom): -3.8912


No. 6
Dy5MgTl3 | GGA-PBE | relaxed

```
Dy5MgTl3
1.0
9.305 0.000 0.000
-4.653 8.058 0.000
0.000 0.000 6.648
Dy Mg Tl
10 2 6
Direct
0.000 0.300 0.250
0.000 0.700 0.750
0.300 0.000 0.250
0.300 0.300 0.750
0.333 0.667 0.000
0.333 0.667 0.500
0.667 0.333 0.000
0.667 0.333 0.500
0.700 0.000 0.750
0.700 0.700 0.250
0.000 0.000 0.000
0.000 0.000 0.500
0.000 0.362 0.750
0.000 0.638 0.250
0.362 0.000 0.750
0.362 0.362 0.250
0.638 0.000 0.250
0.638 0.638 0.750
```

Energy relative to the elements (eV/atom): -0.2910
VASP energy (eV per atom): -3.8137


What is the formula in the sixth record?
Dy5MgTl3